(1)
This record from Alexandria describes a relaxed SrAl2PtO6 crystal. The functional is PBE.

The structure in CIF format:
```
data_SrAl2PtO6
_space_group_name_H-M_alt 'P 1'
_space_group_IT_number 1
_cell_length_a 5.990
_cell_length_b 7.043
_cell_length_c 7.043
_cell_angle_alpha 85.81
_cell_angle_beta 76.33
_cell_angle_gamma 76.33
loop_
_space_group_symop_operation_xyz
'x,y,z'
loop_
_atom_site_label
_atom_site_type_symbol
_atom_site_fract_x
_atom_site_fract_y
_atom_site_fract_z
_atom_site_occupancy
Sr1 Sr 0.250 0.895 0.105 1
Sr2 Sr 0.750 0.105 0.895 1
Al1 Al 0.380 0.778 0.622 1
Al2 Al 0.120 0.378 0.222 1
Al3 Al 0.620 0.222 0.378 1
Al4 Al 0.880 0.622 0.778 1
Pt1 Pt 0.250 0.278 0.722 1
Pt2 Pt 0.750 0.722 0.278 1
O1 O 0.215 0.991 0.759 1
O2 O 0.285 0.241 0.009 1
O3 O 0.785 0.009 0.241 1
O4 O 0.715 0.759 0.991 1
O5 O 0.400 0.823 0.376 1
O6 O 0.100 0.624 0.177 1
O7 O 0.600 0.177 0.624 1
O8 O 0.900 0.376 0.823 1
O9 O 0.202 0.598 0.711 1
O10 O 0.298 0.289 0.402 1
O11 O 0.798 0.402 0.289 1
O12 O 0.702 0.711 0.598 1
```

The value obtained for the uncorrected energy is -65.938 eV/f.u.

***

(2)
This record from Alexandria describes a relaxed Sr2AlPtO5 crystal. The functional is PBE.

The structure in CIF format:
```
data_Sr2AlPtO5
_space_group_name_H-M_alt 'P 1'
_space_group_IT_number 1
_cell_length_a 3.480
_cell_length_b 7.176
_cell_length_c 10.317
_cell_angle_alpha 90.00
_cell_angle_beta 90.00
_cell_angle_gamma 104.03
loop_
_space_group_symop_operation_xyz
'x,y,z'
loop_
_atom_site_label
_atom_site_type_symbol
_atom_site_fract_x
_atom_site_fract_y
_atom_site_fract_z
_atom_site_occupancy
Sr1 Sr 0.862 0.724 0.819 1
Sr2 Sr 0.111 0.221 0.681 1
Sr3 Sr 0.138 0.276 0.319 1
Sr4 Sr 0.889 0.779 0.181 1
Al1 Al 0.561 0.122 0.942 1
Al2 Al 0.439 0.878 0.442 1
Pt1 Pt 0.791 0.581 0.528 1
Pt2 Pt 0.209 0.419 0.028 1
O1 O 0.356 0.711 0.012 1
O2 O 0.684 0.368 0.884 1
O3 O 0.496 0.992 0.797 1
O4 O 0.289 0.578 0.645 1
O5 O 0.946 0.892 0.517 1
O6 O 0.644 0.289 0.512 1
O7 O 0.316 0.632 0.384 1
O8 O 0.504 0.008 0.297 1
O9 O 0.711 0.422 0.145 1
O10 O 0.054 0.108 0.017 1
```

The value obtained for the uncorrected energy is -56.890 eV/f.u.

***

(3)
This record from Alexandria describes a relaxed AlTePtO6 crystal. The functional is PBE.

The structure in CIF format:
```
data_AlTePtO6
_space_group_name_H-M_alt 'P 1'
_space_group_IT_number 1
_cell_length_a 4.661
_cell_length_b 4.661
_cell_length_c 9.333
_cell_angle_alpha 90.00
_cell_angle_beta 90.00
_cell_angle_gamma 90.00
loop_
_space_group_symop_operation_xyz
'x,y,z'
loop_
_atom_site_label
_atom_site_type_symbol
_atom_site_fract_x
_atom_site_fract_y
_atom_site_fract_z
_atom_site_occupancy
Al1 Al 0.500 0.500 0.167 1
Al2 Al 0.000 0.000 0.667 1
Te1 Te 0.500 0.500 0.835 1
Te2 Te 0.000 0.000 0.335 1
Pt1 Pt 0.500 0.500 0.500 1
Pt2 Pt 0.000 0.000 0.000 1
O1 O 0.190 0.810 0.507 1
O2 O 0.810 0.190 0.507 1
O3 O 0.310 0.310 0.007 1
O4 O 0.690 0.690 0.007 1
O5 O 0.201 0.799 0.166 1
O6 O 0.799 0.201 0.166 1
O7 O 0.299 0.299 0.666 1
O8 O 0.701 0.701 0.666 1
O9 O 0.814 0.186 0.825 1
O10 O 0.186 0.814 0.825 1
O11 O 0.686 0.686 0.325 1
O12 O 0.314 0.314 0.325 1
```

The value obtained for the uncorrected energy is -54.421 eV/f.u.

***

no.,total magnetic moment (μB per formula unit)
1,0.000
2,0.000
3,0.000